(1)
A plane-wave DFT calculation with PBE-GGA was carried out for a relaxed structure of TmSc2Sb.

Results
- energy above the most stable polymorph in this dataset (eV per atom) = 0.354
- space-group type = No. 160
- DOS(E_F) (states/eV per atom) = 1.330
- raw total energy (eV per atom) = -5.559

Structure (extended XYZ):
```
4
Lattice="-2.182 1.369 2.828 -0.953 -2.252 2.942 6.199 2.301 6.257" Properties=species:S:1:pos:R:3 pbc="T T T"
Tm 1.506 0.700 5.998
Sc 4.717 1.770 5.370
Sc 0.444 0.239 2.814
Sb -2.071 -0.582 3.858
```

***

(2)
A plane-wave DFT calculation with PBE-GGA was carried out for a relaxed structure of TmSc2Sb4.

Results
- space-group type = No. 63
- DOS(E_F) (states/eV per atom) = 0.395
- raw total energy (eV per atom) = -5.501

Structure (extended XYZ):
```
14
Lattice="-0.368 -3.782 1.783 5.599 1.688 -0.203 -1.560 6.898 14.313" Properties=species:S:1:pos:R:3 pbc="T T T"
Tm -0.634 3.255 11.718
Tm 4.304 1.548 4.175
Sc 1.010 2.870 6.298
Sc 2.114 4.351 14.609
Sc 1.556 0.453 1.283
Sc 2.660 1.934 9.594
Sb 3.348 -1.227 3.030
Sb 2.932 0.615 6.853
Sb 0.322 6.031 12.862
Sb 0.739 4.189 9.039
Sb 2.500 3.138 12.116
Sb 1.171 1.666 3.777
Sb -0.184 -1.891 0.891
Sb -0.964 1.558 8.048
```

***

(3)
A plane-wave DFT calculation with PBE-GGA was carried out for a relaxed structure of TmSc3Sb.

Results
- space-group type = No. 62
- DOS(E_F) (states/eV per atom) = 1.438
- raw total energy (eV per atom) = -5.908

Structure (extended XYZ):
```
20
Lattice="-3.554 -0.998 -0.829 0.482 -7.295 6.715 -4.619 8.497 9.563" Properties=species:S:1:pos:R:3 pbc="T T T"
Tm -6.756 1.356 14.373
Tm -2.762 -0.993 8.717
Tm -4.928 1.197 6.731
Tm -0.934 -1.152 1.076
Sc -0.963 -3.886 4.490
Sc -6.728 4.090 10.958
Sc -2.796 2.690 4.429
Sc -4.894 -2.486 11.020
Sc -4.106 3.206 9.421
Sc -3.704 0.421 2.418
Sc -3.987 -0.217 13.031
Sc -5.531 0.478 10.180
Sc -2.159 -0.274 5.268
Sc -6.361 5.208 8.041
Sc -3.584 -3.002 6.028
Sc -1.330 -5.004 7.408
Sb -3.767 4.230 6.734
Sb -4.575 2.512 12.264
Sb -3.116 -2.308 3.185
Sb -3.924 -4.025 8.714
```

***

(4)
A plane-wave DFT calculation with PBE-GGA was carried out for a relaxed structure of TmScSb.

Results
- space-group type = No. 156
- DOS(E_F) (states/eV per atom) = 1.010
- raw total energy (eV per atom) = -5.407

Structure (extended XYZ):
```
3
Lattice="3.832 0.000 0.000 0.000 4.852 0.000 0.000 -2.426 4.202" Properties=species:S:1:pos:R:3 pbc="T T T"
Sc 0.400 0.000 0.000
Sb 1.006 0.000 2.801
Tm 2.426 2.426 1.401
```

***

(5)
A plane-wave DFT calculation with PBE-GGA was carried out for a relaxed structure of TmSc3Sb2.

Results
- space-group type = No. 12
- DOS(E_F) (states/eV per atom) = 0.802
- raw total energy (eV per atom) = -5.933

Structure (extended XYZ):
```
12
Lattice="-0.369 -4.018 -1.280 1.138 -0.991 9.781 -7.735 1.958 -3.917" Properties=species:S:1:pos:R:3 pbc="T T T"
Tm -6.389 -2.586 2.963
Tm -0.577 -0.464 1.622
Sc -3.395 -0.846 3.634
Sc -3.612 -3.547 5.177
Sc -6.127 -1.305 -1.135
Sc -0.840 -1.745 5.720
Sc -3.355 0.497 -0.592
Sc -3.572 -2.204 0.951
Sb -5.347 -1.353 5.791
Sb -1.620 -1.697 -1.206
Sb -1.432 -3.082 3.091
Sb -5.534 0.033 1.494
```

***

(6)
A plane-wave DFT calculation with PBE-GGA was carried out for a relaxed structure of Tm2ScSb.

Results
- energy above the most stable polymorph in this dataset (eV per atom) = 0.244
- space-group type = No. 166
- DOS(E_F) (states/eV per atom) = 1.227
- raw total energy (eV per atom) = -5.092

Structure (extended XYZ):
```
4
Lattice="3.517 0.000 0.000 1.758 3.046 0.000 1.758 1.015 10.244" Properties=species:S:1:pos:R:3 pbc="T T T"
Sc 3.517 2.030 5.122
Sb 0.000 0.000 0.000
Tm 1.758 1.015 2.470
Tm 5.275 3.046 7.775
```

***

(7)
A plane-wave DFT calculation with PBE-GGA was carried out for a relaxed structure of TmSc2Sb.

Results
- energy above the most stable polymorph in this dataset (eV per atom) = 0.171
- space-group type = No. 123
- DOS(E_F) (states/eV per atom) = 1.284
- raw total energy (eV per atom) = -5.742

Structure (extended XYZ):
```
4
Lattice="-0.704 -2.406 2.943 3.389 -1.754 -0.623 2.960 4.237 4.173" Properties=species:S:1:pos:R:3 pbc="T T T"
Sc 2.287 3.273 3.224
Sc 0.673 0.964 0.949
Sb 1.342 -2.080 1.160
Tm 2.822 0.039 3.246
```

***

(8)
A plane-wave DFT calculation with PBE-GGA was carried out for a relaxed structure of Tm2ScSb.

Results
- energy above the most stable polymorph in this dataset (eV per atom) = 0.000
- space-group type = No. 123
- DOS(E_F) (states/eV per atom) = 0.760
- raw total energy (eV per atom) = -5.336

Structure (extended XYZ):
```
4
Lattice="-3.862 -1.083 -0.280 1.110 -3.590 -1.431 0.217 -2.332 6.019" Properties=species:S:1:pos:R:3 pbc="T T T"
Sc -1.267 -3.502 2.154
Sb -1.376 -2.336 -0.855
Tm 0.164 -1.763 4.550
Tm 0.053 -0.569 1.469
```

***

(9)
A plane-wave DFT calculation with PBE-GGA was carried out for a relaxed structure of Tm5Sc2Sb4.

Results
- space-group type = No. 12
- DOS(E_F) (states/eV per atom) = 0.570
- raw total energy (eV per atom) = -5.296

Structure (extended XYZ):
```
11
Lattice="4.157 0.000 0.000 0.000 7.356 -0.926 -2.079 -3.339 10.545" Properties=species:S:1:pos:R:3 pbc="T T T"
Tm 0.000 5.466 2.849
Tm 2.079 -1.449 6.770
Tm 0.000 1.493 2.717
Tm 2.079 0.000 0.000
Tm 2.079 2.524 6.902
Sc 2.079 3.466 1.043
Sc 0.000 0.551 8.577
Sb 2.079 3.530 3.968
Sb 0.000 5.322 -0.177
Sb 0.000 0.487 5.651
Sb 2.079 -1.304 9.796
```

***

(10)
A plane-wave DFT calculation with PBE-GGA was carried out for a relaxed structure of Tm5ScSb4.

Results
- space-group type = No. 12
- DOS(E_F) (states/eV per atom) = 0.564
- raw total energy (eV per atom) = -5.167

Structure (extended XYZ):
```
10
Lattice="-4.077 -0.936 0.459 1.879 -7.958 0.458 2.296 3.549 8.342" Properties=species:S:1:pos:R:3 pbc="T T T"
Tm -0.656 -3.653 6.016
Tm -1.514 0.103 6.056
Tm 1.611 -5.448 3.203
Tm -1.099 -4.447 0.458
Tm 0.753 -1.692 3.243
Sc -2.039 -0.468 0.229
Sb 1.903 -5.267 6.158
Sb -0.375 -3.403 9.018
Sb -1.805 -0.078 3.100
Sb 0.473 -1.942 0.241
```

***

(11)
A plane-wave DFT calculation with PBE-GGA was carried out for a relaxed structure of YTm2ScSb4.

Results
- space-group type = No. 139
- DOS(E_F) (states/eV per atom) = 0.156
- raw total energy (eV per atom) = -5.828

Structure (extended XYZ):
```
8
Lattice="6.092 0.332 0.000 -0.331 6.092 0.000 -2.880 -3.212 6.091" Properties=species:S:1:pos:R:3 pbc="T T T"
Y 5.399 6.021 0.000
Tm -0.528 2.642 3.046
Tm 2.684 -0.238 3.046
Sc 2.518 2.808 0.000
Sb 5.564 2.975 0.000
Sb 2.353 5.855 0.000
Sb -0.362 -0.404 3.118
Sb 2.518 2.808 2.973
```

***

(12)
A plane-wave DFT calculation with PBE-GGA was carried out for a relaxed structure of YTm2Sc3Sb6.

Results
- space-group type = No. 12
- DOS(E_F) (states/eV per atom) = 0.170
- raw total energy (eV per atom) = -5.942

Structure (extended XYZ):
```
12
Lattice="-5.331 -5.108 -0.042 6.282 -1.186 -3.693 2.453 -0.840 6.900" Properties=species:S:1:pos:R:3 pbc="T T T"
Y 0.000 0.000 0.000
Tm 2.415 -2.492 -2.478
Tm -1.464 -3.802 -1.258
Sc 5.587 -2.255 0.361
Sc -2.183 -4.879 2.804
Sc 1.702 -3.567 1.582
Sb 0.566 -5.962 2.916
Sb 1.358 -4.951 -0.998
Sb 2.838 -1.172 0.249
Sb 4.464 -4.646 1.690
Sb 2.046 -2.183 4.162
Sb -1.060 -2.489 1.474
```

***

| no. | raw formation energy (eV per atom) |
| --- | --- |
| 1 | -0.25 |
| 2 | -0.70 |
| 3 | -0.39 |
| 4 | -0.43 |
| 5 | -0.65 |
| 6 | -0.24 |
| 7 | -0.43 |
| 8 | -0.49 |
| 9 | -0.61 |
| 10 | -0.65 |
| 11 | -1.05 |
| 12 | -1.01 |